{
  "formula": "NaTeAsO",
  "functional": "GGA-PBE",
  "state": "optimized geometry",
  "cell": [[-4.097, -0.615, -2.540], [0.197, -0.611, -4.817], [-0.563, -10.993, -1.079]],
  "species": ["Na", "Na", "Te", "O", "As", "As", "O", "Te"],
  "fractional_positions": [[0.500, 0.500, 0.500], [0.000, 0.000, 0.000], [0.393, 0.393, 0.822], [0.195, 0.195, 0.416], [0.247, 0.247, 0.258], [0.753, 0.753, 0.742], [0.805, 0.805, 0.584], [0.607, 0.607, 0.178]],
  "raw_formation_energy_mev_per_atom": -720.4,
  "space_group": "R-3m",
  "magnetic_moment_mub_per_atom": 0.00
}

=====

{
  "formula": "Mn2ZnSe",
  "functional": "GGA-PBE",
  "state": "optimized geometry",
  "cell": [[5.015, -0.074, -0.047], [3.956, 3.083, -0.047], [1.264, 0.424, 3.898]],
  "species": ["Zn", "Mn", "Se", "Mn"],
  "fractional_positions": [[0.251, 0.251, 0.199], [0.759, 0.759, 0.696], [0.489, 0.489, 0.564], [0.002, 0.002, 0.042]],
  "raw_formation_energy_mev_per_atom": 128.0,
  "dos_ef_per_ev_fu": 2.64,
  "space_group": "Cm",
  "magnetic_moment_mub_per_atom": 1.70,
  "relative_energy_mev_per_atom": 62
}